A relaxed ErBeGa3Cu crystal. Source: the Alexandria database, functional PBE.

Lattice parameters (Å, degrees): 5.4665 6.5704 6.7274 119.23 90.00 90.00
With the nearest neighbours (Å) after each atom.
Atoms (fractional coordinates):
Er 0.7500 0.2819 0.5639  1 Cu 2.78, 2 Be 2.90, 2 Ga 3.05
Er 0.2500 0.7181 0.4361  1 Cu 2.78, 2 Be 2.90, 2 Ga 3.05
Be 0.2500 0.3634 0.7268  5 Ga 2.31-2.47
Be 0.7500 0.6366 0.2732  5 Ga 2.31-2.47
Ga 0.2500 0.1667 0.3333  1 Be 2.31, 1 Cu 2.49
Ga 0.0000 0.3046 0.0000  2 Be 2.47, 2 Cu 2.48, 3 Ga 2.57-2.73
Ga 0.5000 0.6954 0.0000  2 Be 2.47, 2 Cu 2.48, 3 Ga 2.57-2.73
Ga 0.5000 0.3046 0.0000  2 Be 2.47, 2 Cu 2.48, 3 Ga 2.57-2.73
Ga 0.0000 0.6954 0.0000  2 Be 2.47, 2 Cu 2.48, 3 Ga 2.57-2.73
Ga 0.7500 0.8333 0.6667  1 Be 2.31, 1 Cu 2.49
Cu 0.2500 0.9549 0.9097  5 Ga 2.48-2.49
Cu 0.7500 0.0451 0.0903  5 Ga 2.48-2.49

Calculated values
total DFT energy (no corrections): -3.59 eV per atom
calculated density: 7.07 g/cm3
symmetry: Cmcm, No. 63
DFT formation energy: -0.01 eV per atom
N(E_F): 0.269 states/eV per atom
total moment: 0.00 Bohr magnetons per cell